(1)
A plane-wave DFT calculation with PBE was carried out for a relaxed ZnCCl2 crystal.

The volume is 258 Å³ per cell. The energy above the most stable polymorph in this dataset comes out at 120.2 meV per atom. The value obtained for the total energy is -9.31 eV/f.u. As for the uncorrected formation energy: 1.221 eV per atom.

It has space group R-3m (No. 166, hexagonal axes), with a = 3.2725 Å, b = 3.2725 Å, c = 27.7867 Å, α = 90.00°, β = 90.00° and γ = 120.00°. The distinct sites, in fractional coordinates, are Zn at (0.0000, 0.0000, 0.0000), C at (0.0000, 0.0000, 0.5000) and Cl at (0.0000, 0.0000, 0.1185).

(2)
A plane-wave DFT calculation with PBE was carried out for a relaxed Zn2CCl crystal.

The volume is 342 Å³ per cell. The energy above the most stable polymorph in this dataset comes out at 0.0 meV per atom. The value obtained for the total energy is -13.39 eV/f.u. As for the uncorrected formation energy: 0.058 eV per atom.

It has space group Cm (No. 8), with a = 13.0664 Å, b = 3.4601 Å, c = 8.8576 Å, α = 90.00°, β = 121.45° and γ = 90.00°. The distinct sites, in fractional coordinates, are Zn at (0.0000, 0.0000, 0.0000), Zn at (0.0409, 0.5000, 0.2397), Zn at (0.0971, 0.5000, 0.6434), Zn at (0.3299, 0.0000, 0.8885), C at (0.0897, 0.0000, 0.8785), C at (0.1474, 0.0000, 0.7996), Cl at (0.2238, 0.5000, 0.5251) and Cl at (0.4221, 0.0000, 0.3729).

(3)
A plane-wave DFT calculation with PBE was carried out for a relaxed ZnCCl2 crystal.

The volume is 278 Å³ per cell. The energy above the most stable polymorph in this dataset comes out at 116.8 meV per atom. The value obtained for the total energy is -9.32 eV/f.u. As for the uncorrected formation energy: 1.218 eV per atom.

It has space group I-42d (No. 122), with a = 6.6286 Å, b = 6.6286 Å, c = 6.3276 Å, α = 90.00°, β = 90.00° and γ = 90.00°. The distinct sites, in fractional coordinates, are Zn at (0.0000, 0.0000, 0.0000), C at (0.0000, 0.0000, 0.5000) and Cl at (0.2479, 0.2500, 0.1250).

(4)
A plane-wave DFT calculation with PBE was carried out for a relaxed ZnC2Cl crystal.

The volume is 194 Å³ per cell. The energy above the most stable polymorph in this dataset comes out at 637.3 meV per atom. The value obtained for the total energy is -10.33 eV/f.u. As for the uncorrected formation energy: 2.810 eV per atom.

It has space group Fm-3m (No. 225), with a = 5.7927 Å, b = 5.7927 Å, c = 5.7927 Å, α = 90.00°, β = 90.00° and γ = 90.00°. The distinct sites, in fractional coordinates, are Zn at (0.0000, 0.0000, 0.0000), C at (0.2500, 0.2500, 0.2500) and Cl at (0.0000, 0.0000, 0.5000).